Entry 1:
Density functional theory data (PBE) for a relaxed structure of ScAgS2.

Cell lengths 6.9852, 3.5710, 12.0200 Å; angles 90.00, 90.00, 90.00 degrees
Sites, in units of the cell vectors:
Sc: 0.3847 0.2500 0.3477
Sc: 0.1153 0.7500 0.8477
Sc: 0.6153 0.7500 0.6523
Sc: 0.8847 0.2500 0.1523
S: 0.6752 0.2500 0.4988
S: 0.8248 0.7500 0.9988
S: 0.3248 0.7500 0.5012
S: 0.1752 0.2500 0.0012
S: 0.3813 0.2500 0.7545
S: 0.1187 0.7500 0.2545
S: 0.6187 0.7500 0.2455
S: 0.8813 0.2500 0.7455
Ag: 0.0932 0.2500 0.5775
Ag: 0.4068 0.7500 0.0775
Ag: 0.9068 0.7500 0.4225
Ag: 0.5932 0.2500 0.9225

Entry 2:
Density functional theory data (PBE) for a relaxed structure of ScAgS2.

Cell lengths 21.9001, 7.7741, 7.7741 Å; angles 116.03, 134.35, 45.65 degrees
Sites, in units of the cell vectors:
Sc: 0.1269 0.2747 0.2791
Sc: 0.3731 0.7791 0.7747
Sc: 0.8731 0.7253 0.7209
Sc: 0.6269 0.2209 0.2253
Sc: 0.3619 0.2932 0.7573
Sc: 0.1381 0.2573 0.7932
Sc: 0.6381 0.7068 0.2427
Sc: 0.8619 0.7427 0.2068
S: 0.9840 0.7196 0.6836
S: 0.5160 0.1836 0.2196
S: 0.0160 0.2804 0.3164
S: 0.4840 0.8164 0.7804
S: 0.7381 0.2264 0.1994
S: 0.7619 0.6994 0.7264
S: 0.2619 0.7736 0.8006
S: 0.2381 0.3006 0.2736
S: 0.5252 0.6867 0.2363
S: 0.9748 0.7363 0.1867
S: 0.4748 0.3133 0.7637
S: 0.0252 0.2637 0.8133
S: 0.7500 0.1756 0.6756
S: 0.2500 0.8244 0.3244
S: 0.7500 0.7439 0.2439
S: 0.2500 0.2561 0.7561
Ag: 0.3685 0.5906 0.2169
Ag: 0.1315 0.7169 0.0906
Ag: 0.6315 0.4094 0.7831
Ag: 0.8685 0.2831 0.9094
Ag: 0.4270 0.9410 0.4023
Ag: 0.0730 0.9023 0.4410
Ag: 0.5730 0.0590 0.5977
Ag: 0.9270 0.0977 0.5589

Entry 3:
Density functional theory data (PBE) for a relaxed structure of ScAgS2.

Cell lengths 7.7977, 7.7977, 7.7977 Å; angles 28.19, 28.19, 28.19 degrees
Sites, in units of the cell vectors:
Sc: 0.5000 0.5000 0.5000
S: 0.8946 0.8946 0.8946
S: 0.1054 0.1054 0.1054
Ag: 0.0000 0.0000 0.0000

Entry 4:
Density functional theory data (PBE) for a relaxed structure of Sc2Ag2S.

Cell lengths 6.8758, 6.8758, 4.4309 Å; angles 90.00, 90.00, 90.00 degrees
Sites, in units of the cell vectors:
Sc: 0.3301 0.8301 0.0000
Sc: 0.8301 0.6699 0.0000
Sc: 0.6699 0.1699 0.0000
Sc: 0.1699 0.3301 0.0000
S: 0.0000 0.0000 0.0000
S: 0.5000 0.5000 0.0000
Ag: 0.1377 0.6377 0.5000
Ag: 0.6377 0.8623 0.5000
Ag: 0.8623 0.3623 0.5000
Ag: 0.3623 0.1377 0.5000

Entry 5:
Density functional theory data (PBE) for a relaxed structure of Sc3AgS.

Cell lengths 3.5826, 8.3816, 13.7693 Å; angles 90.00, 90.00, 90.00 degrees
Sites, in units of the cell vectors:
Sc: 0.2500 0.3380 0.5318
Sc: 0.7500 0.8061 0.2157
Sc: 0.7500 0.5238 0.8912
Sc: 0.7500 0.0238 0.6088
Sc: 0.7500 0.6620 0.4682
Sc: 0.2500 0.9762 0.3912
Sc: 0.2500 0.8380 0.9682
Sc: 0.7500 0.3061 0.2843
Sc: 0.2500 0.6939 0.7157
Sc: 0.2500 0.1939 0.7843
Sc: 0.7500 0.1620 0.0318
Sc: 0.2500 0.4762 0.1088
Ag: 0.7500 0.9197 0.8169
Ag: 0.2500 0.0803 0.1831
Ag: 0.7500 0.4197 0.6831
Ag: 0.2500 0.5803 0.3169
S: 0.2500 0.3287 0.9477
S: 0.2500 0.8287 0.5523
S: 0.7500 0.1713 0.4477
S: 0.7500 0.6713 0.0523

Entry 6:
Density functional theory data (PBE) for a relaxed structure of Sc3AgS.

Cell lengths 4.8013, 4.8013, 4.8013 Å; angles 90.00, 90.00, 90.00 degrees
Sites, in units of the cell vectors:
Sc: 0.0000 0.5000 0.0000
Sc: 0.0000 0.0000 0.5000
Sc: 0.5000 0.0000 0.0000
S: 0.0000 0.0000 0.0000
Ag: 0.5000 0.5000 0.5000

Entry 7:
Density functional theory data (PBE) for a relaxed structure of ScAgS2.

Cell lengths 6.5651, 8.7900, 3.7666 Å; angles 77.63, 90.00, 125.10 degrees
Sites, in units of the cell vectors:
Sc: 0.2086 0.3035 0.6519
Sc: 0.6919 0.2901 0.1584
S: 0.0233 0.4987 0.5543
S: 0.8772 0.0949 0.2563
S: 0.3722 0.0925 0.7573
S: 0.5283 0.5011 0.0531
Ag: 0.7702 0.8511 0.8785
Ag: 0.1306 0.7425 0.9325

Entry 8:
Density functional theory data (PBE) for a relaxed structure of ScAgS2.

Cell lengths 12.9101, 7.5325, 7.5325 Å; angles 67.02, 100.00, 80.00 degrees
Sites, in units of the cell vectors:
Sc: 0.3828 0.4030 0.0288
Sc: 0.1172 0.5288 0.9030
Sc: 0.6172 0.5970 0.9712
Sc: 0.8828 0.4712 0.0970
Sc: 0.3585 0.9114 0.0329
Sc: 0.1415 0.5329 0.4114
Sc: 0.6415 0.0886 0.9671
Sc: 0.8585 0.4671 0.5886
S: 0.9951 0.7073 0.5446
S: 0.5049 0.0446 0.2073
S: 0.0049 0.2927 0.4554
S: 0.4951 0.9554 0.7927
S: 0.7538 0.2334 0.1631
S: 0.7462 0.6631 0.7333
S: 0.2462 0.7667 0.8369
S: 0.2538 0.3369 0.2666
S: 0.4953 0.5572 0.2127
S: 0.0047 0.7127 0.0572
S: 0.5047 0.4428 0.7873
S: 0.9953 0.2873 0.9428
S: 0.7500 0.2024 0.7024
S: 0.2500 0.7976 0.2976
S: 0.7500 0.6978 0.1978
S: 0.2500 0.3022 0.8022
Ag: 0.1358 0.0816 0.3358
Ag: 0.3642 0.8358 0.5816
Ag: 0.8642 0.9184 0.6642
Ag: 0.6358 0.1642 0.4184
Ag: 0.4332 0.3102 0.5091
Ag: 0.0668 0.0091 0.8102
Ag: 0.5668 0.6898 0.4909
Ag: 0.9332 0.9909 0.1898

Entry 9:
Density functional theory data (PBE) for a relaxed structure of ScAgS2.

Cell lengths 9.6222, 9.6222, 4.9589 Å; angles 90.00, 90.00, 156.20 degrees
Sites, in units of the cell vectors:
Sc: 0.0799 0.9201 0.2500
Sc: 0.9201 0.0799 0.7500
S: 0.2009 0.7991 0.2500
S: 0.7991 0.2009 0.7500
S: 0.9389 0.0611 0.2500
S: 0.0611 0.9389 0.7500
Ag: 0.3344 0.6656 0.2500
Ag: 0.6656 0.3344 0.7500

Entry 10:
Density functional theory data (PBE) for a relaxed structure of ScAgS2.

Cell lengths 18.6810, 3.7602, 6.5792 Å; angles 90.00, 136.18, 90.00 degrees
Sites, in units of the cell vectors:
Sc: 0.4969 0.2501 0.2376
Sc: 0.5031 0.7499 0.7624
Sc: 0.0031 0.7501 0.2624
Sc: 0.9969 0.2499 0.7376
S: 0.8902 0.7499 0.6990
S: 0.1098 0.2501 0.3010
S: 0.6098 0.2499 0.8010
S: 0.3902 0.7501 0.1990
S: 0.1094 0.7499 0.8109
S: 0.8906 0.2501 0.1891
S: 0.3906 0.2499 0.6891
S: 0.6094 0.7501 0.3109
Ag: 0.2373 0.2500 0.9122
Ag: 0.7627 0.7500 0.0878
Ag: 0.2627 0.7500 0.5878
Ag: 0.7373 0.2500 0.4122

Entry 11:
Density functional theory data (PBE) for a relaxed structure of ScAgS2.

Cell lengths 5.7961, 5.7961, 7.1321 Å; angles 66.03, 66.03, 90.00 degrees
Sites, in units of the cell vectors:
Sc: 0.5000 0.5000 0.0000
Sc: 0.2500 0.7500 0.5000
S: 0.6067 0.1250 0.2500
S: 0.1433 0.6250 0.2500
S: 0.3750 0.3933 0.7500
S: 0.8750 0.8567 0.7500
Ag: 0.0000 0.0000 0.0000
Ag: 0.7500 0.2500 0.5000

Entry 12:
Density functional theory data (PBE) for a relaxed structure of Sc2Ag4S5.

Cell lengths 3.9008, 3.9008, 17.6283 Å; angles 83.65, 83.65, 60.00 degrees
Sites, in units of the cell vectors:
Sc: 0.1382 0.1382 0.5853
Sc: 0.8618 0.8618 0.4147
Ag: 0.6868 0.6868 0.9397
Ag: 0.5835 0.5835 0.2496
Ag: 0.4165 0.4165 0.7504
Ag: 0.3132 0.3132 0.0603
S: 0.7790 0.7790 0.6629
S: 0.6297 0.6297 0.1108
S: 0.5000 0.5000 0.5000
S: 0.3703 0.3703 0.8892
S: 0.2210 0.2210 0.3371

Entry 13:
Density functional theory data (PBE) for a relaxed structure of ScAgS2.

Cell lengths 11.7214, 11.7214, 4.0126 Å; angles 90.00, 90.00, 162.80 degrees
Sites, in units of the cell vectors:
Sc: 0.3200 0.6800 0.2500
Sc: 0.6800 0.3200 0.7500
S: 0.2058 0.7942 0.2500
S: 0.7942 0.2058 0.7500
S: 0.9026 0.0974 0.2500
S: 0.0974 0.9026 0.7500
Ag: 0.0403 0.9597 0.2500
Ag: 0.9597 0.0403 0.7500

Entry 14:
Density functional theory data (PBE) for a relaxed structure of ScAgS2.

Cell lengths 6.5779, 6.7962, 3.7941 Å; angles 90.75, 90.15, 90.57 degrees
Sites, in units of the cell vectors:
Sc: 0.0645 0.2894 0.2416
Sc: 0.5623 0.2890 0.7219
S: 0.8982 0.4858 0.7404
S: 0.2273 0.0756 0.7346
S: 0.7293 0.0728 0.2179
S: 0.3992 0.4865 0.2306
Ag: 0.9017 0.8455 0.7032
Ag: 0.4454 0.8298 0.4011

Entry 15:
Density functional theory data (PBE) for a relaxed structure of Sc3AgS.

Cell lengths 5.1220, 5.1220, 5.1220 Å; angles 90.00, 90.00, 90.00 degrees
Sites, in units of the cell vectors:
Sc: 0.0000 0.5000 0.0000
Sc: 0.0000 0.0000 0.5000
Sc: 0.5000 0.0000 0.0000
S: 0.5000 0.5000 0.5000
Ag: 0.0000 0.0000 0.0000

Entry 16:
Density functional theory data (PBE) for a relaxed structure of ScAg6S4.

Cell lengths 6.1824, 8.7666, 8.7666 Å; angles 90.00, 90.00, 90.00 degrees
Sites, in units of the cell vectors:
Sc: 0.0000 0.5000 0.5000
Sc: 0.5000 0.0000 0.0000
Ag: 0.5000 0.7316 0.2684
Ag: 0.5000 0.2684 0.2684
Ag: 0.9375 0.0000 0.5000
Ag: 0.4375 0.0000 0.5000
Ag: 0.5000 0.2684 0.7316
Ag: 0.5000 0.7316 0.7316
Ag: 0.0000 0.7684 0.7684
Ag: 0.0000 0.2316 0.7684
Ag: 0.0625 0.5000 0.0000
Ag: 0.5625 0.5000 0.0000
Ag: 0.0000 0.7684 0.2316
Ag: 0.0000 0.2316 0.2316
S: 0.2743 0.0000 0.2322
S: 0.7743 0.7322 0.5000
S: 0.7743 0.2678 0.5000
S: 0.2743 0.0000 0.7678
S: 0.2257 0.5000 0.7322
S: 0.7257 0.2322 0.0000
S: 0.7257 0.7678 0.0000
S: 0.2257 0.5000 0.2678

Entry 17:
Density functional theory data (PBE) for a relaxed structure of ScAgS2.

Cell lengths 12.5064, 5.2040, 5.2040 Å; angles 89.78, 128.59, 51.41 degrees
Sites, in units of the cell vectors:
Sc: 0.2347 0.6526 0.5846
Sc: 0.7347 0.9154 0.8474
S: 0.1724 0.2498 0.5347
S: 0.6724 0.9653 0.2502
S: 0.2880 0.5899 0.1727
S: 0.7880 0.3273 0.9101
Ag: 0.3222 0.0397 0.2890
Ag: 0.8222 0.2110 0.4603

Number 1: uncorrected formation energy -1082 meV per atom, magnetization 0.00 μB/cell. Number 2: uncorrected formation energy -1179 meV per atom, magnetization 0.00 μB/cell. Number 3: uncorrected formation energy -1211 meV per atom, magnetization 0.00 μB/cell. Number 4: uncorrected formation energy -547 meV per atom, magnetization 0.00 μB/cell. Number 5: uncorrected formation energy -858 meV per atom, magnetization 0.00 μB/cell. Number 6: uncorrected formation energy -644 meV per atom, magnetization 0.00 μB/cell. Number 7: uncorrected formation energy -1218 meV per atom, magnetization 0.00 μB/cell. Number 8: uncorrected formation energy -1149 meV per atom, magnetization 0.00 μB/cell. Number 9: uncorrected formation energy -648 meV per atom, magnetization 0.00 μB/cell. Number 10: uncorrected formation energy -1172 meV per atom, magnetization 0.00 μB/cell. Number 11: uncorrected formation energy -1111 meV per atom, magnetization 0.00 μB/cell. Number 12: uncorrected formation energy -682 meV per atom, magnetization 0.00 μB/cell. Number 13: uncorrected formation energy -1077 meV per atom, magnetization 0.00 μB/cell. Number 14: uncorrected formation energy -1210 meV per atom, magnetization 0.00 μB/cell. Number 15: uncorrected formation energy 233 meV per atom, magnetization 0.00 μB/cell. Number 16: uncorrected formation energy -304 meV per atom, magnetization 0.00 μB/cell. Number 17: uncorrected formation energy -1162 meV per atom, magnetization 0.00 μB/cell.